<one>
Density functional theory data (PBE) for a relaxed NaCrC2 crystal.

a = 5.2004 Å, b = 5.2004 Å, c = 6.0202 Å
α = 64.41°, β = 64.41°, γ = 90.00°
Last column: nearest neighbours and their distance in Å.
Atoms (fractional coordinates):
Na 0.5000 0.5000 0.0000  4 C 2.82
C 0.7993 0.1250 0.2500  2 Cr 1.81
Na 0.2500 0.7500 0.5000  4 C 2.82
C 0.9507 0.6250 0.2500  2 Cr 1.81
C 0.3750 0.2007 0.7500  2 Cr 1.81
Cr 0.0000 0.0000 0.0000  4 C 1.81
Cr 0.7500 0.2500 0.5000  4 C 1.81
C 0.8750 0.0493 0.7500  2 Cr 1.81

Summary:
The space-group type is I-42d, No. 122. The value obtained for the total moment is 0.00 μB per cell. The value obtained for the density of states at the Fermi level is 4.0 states/eV/cell.

=====

<two>
Density functional theory data (PBE) for a relaxed NaCrC2 crystal.

a = 3.8264 Å, b = 3.8264 Å, c = 3.8264 Å
α = 60.00°, β = 60.00°, γ = 60.00°
Last column: nearest neighbours and their distance in Å.
Atoms (fractional coordinates):
C 0.2500 0.2500 0.2500  4 Cr 2.34, 4 Na 2.34
Cr 0.5000 0.5000 0.5000  8 C 2.34
Na 0.0000 0.0000 0.0000  8 C 2.34
C 0.7500 0.7500 0.7500  4 Na 2.34, 4 Cr 2.34

Summary:
The space-group type is Fm-3m, No. 225. The value obtained for the total moment is 2.48 μB per cell. The value obtained for the density of states at the Fermi level is 2.9 states/eV/cell.

=====

Winner for stability: <one>

=====

<one>
Density functional theory data (PBE) for a relaxed Na2CrC2 crystal.

a = 7.0948 Å, b = 7.0948 Å, c = 2.5556 Å
α = 90.00°, β = 90.00°, γ = 90.00°
Last column: nearest neighbours and their distance in Å.
Atoms (fractional coordinates):
Na 0.3812 0.8812 0.0000  6 C 2.37-2.53, 3 Na 2.38-2.56
Cr 0.5000 0.5000 0.0000  2 Cr 2.56, 4 Na 2.83
C 0.6818 0.8182 0.5000  6 Na 2.37-2.53, 2 C 2.56
Na 0.8812 0.6188 0.0000  6 C 2.37-2.53, 3 Na 2.38-2.56
Na 0.6188 0.1188 0.0000  6 C 2.37-2.53, 3 Na 2.38-2.56
Cr 0.0000 0.0000 0.0000  2 Cr 2.56, 4 Na 2.83
C 0.1818 0.6818 0.5000  6 Na 2.37-2.53, 2 C 2.56
Na 0.1188 0.3812 0.0000  6 C 2.37-2.53, 3 Na 2.38-2.56
C 0.3182 0.1818 0.5000  6 Na 2.37-2.53, 2 C 2.56
C 0.8182 0.3182 0.5000  6 Na 2.37-2.53, 2 C 2.56

Summary:
The space-group type is P4/mbm, No. 127. The value obtained for the total moment is 3.60 μB per cell. The value obtained for the density of states at the Fermi level is 9.5 states/eV/cell.

=====

<two>
Density functional theory data (PBE) for a relaxed Na2CrC2 crystal.

a = 4.2687 Å, b = 4.2687 Å, c = 4.8609 Å
α = 63.95°, β = 63.95°, γ = 90.00°
Last column: nearest neighbours and their distance in Å.
Atoms (fractional coordinates):
C 0.7500 0.2500 0.5000  4 Na 2.29
Na 0.3600 0.3600 0.2799  1 Na 2.13, 4 C 2.29
C 0.2500 0.7500 0.5000  4 Na 2.29
Cr 0.0000 0.0000 0.0000  2 Na 2.74, 8 C 2.86
Na 0.6400 0.6400 0.7201  1 Na 2.13, 4 C 2.29

Summary:
The space-group type is I4/mmm, No. 139. The value obtained for the total moment is 3.40 μB per cell. The value obtained for the density of states at the Fermi level is 2.8 states/eV/cell.

=====

Winner for stability: <one>